[1]
This record from the Alexandria database describes crystalline ScMnPt2 at its relaxed geometry. The functional is GGA-PBE.

Properties
Magnetization in Bohr magnetons per cell: 4.177
Formation energy from the elements in eV/atom: -0.80
DOS(E_F) in states/eV/atom: 0.60

Cell lengths 5.094, 5.094, 5.094 Å; angles 135.15, 135.12, 65.33 degrees
Positions (direct):
1 Sc 0.500 0.500 0.000
2 Mn 0.250 0.750 0.500
3 Pt 0.000 0.000 0.000
4 Pt 0.750 0.250 0.500



[2]
This record from the Alexandria database describes crystalline Sc2MnPt at its relaxed geometry. The functional is GGA-PBE.

Properties
Magnetization in Bohr magnetons per cell: 2.542
Formation energy from the elements in eV/atom: 0.04
DOS(E_F) in states/eV/atom: 0.87

Cell lengths 9.481, 9.481, 9.481 Å; angles 18.72, 18.72, 18.72 degrees
Positions (direct):
1 Sc 0.911 0.911 0.911
2 Sc 0.089 0.089 0.089
3 Mn 0.000 0.000 0.000
4 Pt 0.500 0.500 0.500



[3]
This record from the Alexandria database describes crystalline ScMnPt2 at its relaxed geometry. The functional is GGA-PBE.

Properties
Magnetization in Bohr magnetons per cell: 7.056
Formation energy from the elements in eV/atom: -0.28
DOS(E_F) in states/eV/atom: 0.54

Cell lengths 4.029, 4.029, 9.270 Å; angles 77.45, 77.45, 90.00 degrees
Positions (direct):
1 Sc 0.500 0.500 0.000
2 Sc 0.250 0.750 0.500
3 Mn 0.000 0.000 0.000
4 Mn 0.750 0.250 0.500
5 Pt 0.637 0.125 0.250
6 Pt 0.113 0.625 0.250
7 Pt 0.375 0.363 0.750
8 Pt 0.875 0.887 0.750